A relaxed structure of LiRhW, computed with PBE-GGA.

a b c (Å): 13.790 2.750 4.758
angles (deg): 90.00 90.00 90.00
Space group Amm2 (No. 38)
Unique sites:
1 Li 0.152 0.000 0.000 x4
2 Rh 0.000 0.000 0.333 x2
3 Rh 0.500 0.000 0.002 x2
4 W 0.338 0.000 0.336 x4

Computed properties:
calculated total energy	-21.84	eV per formula unit

A relaxed structure of Rb2Tl9In4, computed with PBE-GGA.

a b c (Å): 5.4620 5.4620 19.9445
angles (deg): 90.00 90.00 120.00
Space group P-3m1 (No. 164)
Unique sites:
1 Rb 0.3333 0.6667 0.2635 x2
2 Tl 0.0000 0.0000 0.0000 x1
3 Tl 0.0000 0.0000 0.1580 x2
4 Tl 0.0000 0.0000 0.4050 x2
5 Tl 0.3333 0.6667 0.0569 x2
6 Tl 0.3333 0.6667 0.4612 x2
7 In 0.3333 0.6667 0.6195 x2
8 In 0.3333 0.6667 0.8846 x2

Computed properties:
calculated total energy	-34.51	eV per formula unit

A relaxed structure of BaCuP2, computed with PBE-GGA.

a b c (Å): 7.068 7.068 7.068
angles (deg): 90.00 90.00 90.00
Space group Fm-3m (No. 225)
Unique sites:
1 Ba 0.000 0.000 0.000 x4
2 Cu 0.000 0.000 0.500 x4
3 P 0.250 0.250 0.250 x8

Computed properties:
calculated total energy	-15.81	eV per formula unit

A relaxed structure of LaAl2Ga, computed with PBE-GGA.

a b c (Å): 4.155 4.155 10.556
angles (deg): 90.00 90.00 90.00
Space group P4/nmm (No. 129, origin choice 2)
Unique sites:
1 La 0.250 0.250 0.249 x2
2 Al 0.250 0.250 0.948 x2
3 Al 0.250 0.750 0.500 x2
4 Ga 0.250 0.250 0.662 x2

Computed properties:
calculated total energy	-16.76	eV per formula unit

In the order shown, the computed formation energy from the elements values come out to 0.126; -0.022; 0.258; -0.331 eV per atom.